DFT (PBE) results for a geometry-optimized ZnB2Ru structure.

Properties
magnetic moment	0.0	μB per formula unit
final energy	-0.38798	Ry per atom
energy of formation from the pure elements	697	meV per atom

abc: 4.916 4.916 9.297
angles: 90.00 90.00 90.00
Space group I-42d (No. 122)
Asymmetric unit:
Zn 0.000 0.000 0.000 x4
B 0.210 0.250 0.625 x8
Ru 0.000 0.000 0.500 x4



DFT (PBE) results for a geometry-optimized ZrBRu structure.

Properties
magnetic moment	0.0	μB per formula unit
relative energy among the computed polymorphs	0.0	kJ per mole of atoms
final energy	-0.64854	Ry per atom
energy of formation from the pure elements	-657	meV per atom

abc: 11.227 3.166 4.749
angles: 90.00 102.98 90.00
Space group C2/m (No. 12)
Asymmetric unit:
Zr 0.131 0.000 0.327 x4
B 0.233 0.000 0.877 x4
Ru 0.094 0.500 0.792 x4